ZnGaAu | GGA-PBE | relaxed

Uncorrected energy (eV per atom): -2.48
DFT formation energy (eV/atom): 0.0494

abc: 2.796 2.796 7.453
angles: 100.81 100.81 90.00
Element x y z (fractional)
Zn 0.771 0.771 0.542
Au 0.949 0.949 0.898
Ga 0.130 0.130 0.259

***

ZnGa2Au2 | GGA-PBE | relaxed

Offset from the most stable computed form (kJ/mol of atoms): 0.0
Uncorrected energy (eV per atom): -2.95
DFT formation energy (eV/atom): -0.1784

abc: 4.424 4.424 5.548
angles: 89.94 89.94 60.07
Element x y z (fractional)
Zn 0.500 0.000 0.000
Ga 0.833 0.333 0.668
Ga 0.167 0.667 0.332
Au 0.834 0.334 0.192
Au 0.166 0.666 0.808

***

Repeat the second record exactly.
ZnGa2Au2 | GGA-PBE | relaxed

Offset from the most stable computed form (kJ/mol of atoms): 0.0
Uncorrected energy (eV per atom): -2.95
DFT formation energy (eV/atom): -0.1784

abc: 4.424 4.424 5.548
angles: 89.94 89.94 60.07
Element x y z (fractional)
Zn 0.500 0.000 0.000
Ga 0.833 0.333 0.668
Ga 0.167 0.667 0.332
Au 0.834 0.334 0.192
Au 0.166 0.666 0.808